1.
Th3Tl4Te8Pd | GGA-PBE | relaxed

**Energy**: -4.606 eV/atom
**ΔE_f (raw)**: -728 meV per atom
**Crystal system**: monoclinic
**DOS(E_F)**: 0.35 states/eV per atom

a = 8.8871 Å, b = 9.7405 Å, c = 8.9020 Å
α = 117.27°, β = 119.94°, γ = 90.00°
Last column: nearest neighbours and their distance in Å.
Fractional positions:
Th 0.5000 0.5000 0.0000  6 Te 3.13-3.18
Th 0.5000 0.5000 0.5000  6 Te 3.13-3.18
Th 0.0000 0.5000 0.5000  6 Te 3.13-3.18
Tl 0.5000 0.0000 0.0000  6 Te 3.59-3.60
Tl 0.5000 0.0000 0.5000  6 Te 3.42-3.50
Tl 0.0000 0.0000 0.0000  6 Te 3.42-3.50
Tl 0.0000 0.0000 0.5000  6 Te 3.42-3.50
Te 0.2293 0.7071 0.9777  1 Pd 3.01, 2 Th 3.13
Te 0.2304 0.7081 0.4609  1 Pd 3.02, 2 Th 3.13
Te 0.2578 0.2734 0.5157  3 Th 3.18, 3 Tl 3.42
Te 0.7484 0.7071 0.9777  1 Pd 3.01, 2 Th 3.13
Te 0.2516 0.2929 0.0223  1 Pd 3.01, 2 Th 3.13
Te 0.7422 0.7266 0.4843  3 Th 3.18, 3 Tl 3.42
Te 0.7696 0.2919 0.5391  1 Pd 3.02, 2 Th 3.13
Te 0.7707 0.2929 0.0223  1 Pd 3.01, 2 Th 3.13
Pd 0.0000 0.5000 0.0000  6 Te 3.01-3.02


2.
Th3Tl3Te8Pd | GGA-PBE | relaxed

**Energy**: -4.728 eV/atom
**ΔE_f (raw)**: -749 meV per atom
**Crystal system**: monoclinic
**DOS(E_F)**: 0.33 states/eV per atom

a = 8.9790 Å, b = 8.8211 Å, c = 9.7023 Å
α = 116.22°, β = 90.00°, γ = 120.59°
Last column: nearest neighbours and their distance in Å.
Fractional positions:
Th 0.5000 0.0000 0.5000  6 Te 3.11-3.17
Th 0.5000 0.5000 0.5000  6 Te 3.09-3.18
Th 0.0000 0.5000 0.5000  6 Te 3.09-3.18
Tl 0.0000 0.0000 0.0000  6 Te 3.42-3.52
Tl 0.0000 0.5000 0.0000  6 Te 3.43-3.54
Tl 0.5000 0.5000 0.0000  6 Te 3.43-3.54
Te 0.2577 0.5154 0.2738  3 Th 3.17-3.18, 3 Tl 3.42-3.43
Te 0.7423 0.4846 0.7262  3 Th 3.17-3.18, 3 Tl 3.42-3.43
Te 0.7852 0.5704 0.3058  1 Pd 2.81
Te 0.2148 0.4296 0.6942  1 Pd 2.81
Te 0.7645 0.0265 0.2902  2 Th 3.09-3.11, 1 Pd 3.10
Te 0.2355 0.9735 0.7098  2 Th 3.09-3.11, 1 Pd 3.10
Te 0.2620 0.0265 0.2902  2 Th 3.09-3.11, 1 Pd 3.10
Te 0.7380 0.9735 0.7098  2 Th 3.09-3.11, 1 Pd 3.10
Pd 0.0000 0.0000 0.5000  6 Te 2.81-3.10


Look up the ΔE_f (raw) of the first one.
-728 meV per atom